Record 1
Below is Pr2TmTl2Ag2 after structural relaxation, with properties calculated at the PBE-GGA level.

Lattice parameters (Å, degrees): 9.720 9.720 9.720 29.14 29.14 29.14
Fractional coordinates of all 7 atoms:
Pr  0.124  0.124  0.124
Pr  0.876  0.876  0.876
Tm  0.000  0.000  0.000
Tl  0.264  0.264  0.264
Tl  0.736  0.736  0.736
Ag  0.385  0.385  0.385
Ag  0.615  0.615  0.615

Values from the calculation:
Space group: No. 166
Energy relative to the elements (eV per atom): -0.182
Fermi-level density of states (states/eV/cell): 5.9


Record 2
Below is PrYTlAg after structural relaxation, with properties calculated at the PBE-GGA level.

Lattice parameters (Å, degrees): 5.377 5.377 5.377 60.00 60.00 60.00
Fractional coordinates of all 4 atoms:
Pr  0.000  0.000  0.000
Y  0.500  0.500  0.500
Tl  0.750  0.750  0.750
Ag  0.250  0.250  0.250

Values from the calculation:
Space group: No. 216
Energy relative to the elements (eV per atom): -0.335
Fermi-level density of states (states/eV/cell): 3.5


Record 3
Below is Pr2YTl2Ag2 after structural relaxation, with properties calculated at the PBE-GGA level.

Lattice parameters (Å, degrees): 9.714 9.714 9.714 29.29 29.29 29.29
Fractional coordinates of all 7 atoms:
Pr  0.125  0.125  0.125
Pr  0.875  0.875  0.875
Y  0.000  0.000  0.000
Tl  0.264  0.264  0.264
Tl  0.736  0.736  0.736
Ag  0.389  0.389  0.389
Ag  0.611  0.611  0.611

Values from the calculation:
Space group: No. 166
Energy relative to the elements (eV per atom): -0.201
Fermi-level density of states (states/eV/cell): 5.9